Entry 1:
Below is an optimized crystal structure of AcMgSiPd, with properties calculated at the PBE level.

a b c (Å): 5.0791 5.0791 5.0791
angles (deg): 60.00 60.00 60.00
Atoms (fractional coordinates):
Mg 0.5000 0.5000 0.5000
Ac 0.0000 0.0000 0.0000
Si 0.7500 0.7500 0.7500
Pd 0.2500 0.2500 0.2500

Computed properties:
SG = F-43m
formation energy (no corrections) = -0.395 eV/atom
calculated volume = 23.16 Å³ per atom

=====

Entry 2:
Below is an optimized crystal structure of Re2WSe, with properties calculated at the PBE level.

a b c (Å): 5.1045 5.1045 4.4213
angles (deg): 87.37 87.37 34.06
Atoms (fractional coordinates):
Re 0.9706 0.9706 0.0236
Re 0.5294 0.5294 0.4764
Se 0.7500 0.7500 0.7500
W 0.2500 0.2500 0.2500

Computed properties:
SG = C2/m
formation energy (no corrections) = 0.480 eV/atom
calculated volume = 16.11 Å³ per atom

=====

Entry 3:
Below is an optimized crystal structure of Pr3Ni3Bi4, with properties calculated at the PBE level.

a b c (Å): 8.5935 8.5935 8.5935
angles (deg): 109.47 109.47 109.47
Atoms (fractional coordinates):
Pr 0.1250 0.8750 0.2500
Pr 0.3750 0.6250 0.7500
Pr 0.8750 0.2500 0.1250
Pr 0.6250 0.7500 0.3750
Pr 0.2500 0.1250 0.8750
Pr 0.7500 0.3750 0.6250
Ni 0.6250 0.3750 0.2500
Ni 0.8750 0.1250 0.7500
Ni 0.3750 0.2500 0.6250
Ni 0.1250 0.7500 0.8750
Ni 0.2500 0.6250 0.3750
Ni 0.7500 0.8750 0.1250
Bi 0.3464 0.3464 0.3464
Bi 0.1536 0.5000 0.0000
Bi 0.0000 0.1536 0.5000
Bi 0.8464 0.8464 0.8464
Bi 0.5000 0.0000 0.1536
Bi 0.6536 0.5000 0.0000
Bi 0.5000 0.0000 0.6536
Bi 0.0000 0.6536 0.5000

Computed properties:
SG = I-43d
ΔH_f (0 K) = -5.842 eV/f.u.
calculated volume = 24.43 Å³ per atom

=====

| no. | final energy (eV/atom) |
| --- | --- |
| 1 | -4.48 |
| 2 | -9.85 |
| 3 | -5.30 |